## AlBr2Cl (PBE-GGA)

Data for a relaxed AlBr2Cl crystal.

Unit cell a=3.9586 b=4.1765 c=6.8990 alpha=90.00 beta=90.00 gamma=90.00
Closest atoms and distances in Å follow each position.
Space group Pmmm (No. 47)
Inequivalent atoms, fractional coordinates:
Al (0.0000, 0.0000, 0.0000)  4 Cl 2.88
Br (0.0000, 0.5000, 0.5000)  4 Br 2.88
Br (0.5000, 0.0000, 0.5000)  4 Br 2.88
Cl (0.5000, 0.5000, 0.0000)  4 Al 2.88

Values from the calculation:
Energy, Ry per atom: -0.1671
ΔE to the lowest computed polymorph, meV per atom: 1154
Uncorrected formation energy, eV per atom: -0.040
Crystal system: orthorhombic